VASP calculation (PBE) on an optimized crystal structure of Tc2HgBr.

Calculated values
Formation energy from raw total energies: 0.8238 eV per atom
Calculated volume: 69.0 Å³/cell
Energy above the most stable polymorph in this dataset: 2.32 eV per formula unit

POSCAR file:
```
Tc2HgBr
1.0
8.921 -0.002 -0.001
8.411 2.973 -0.001
8.411 1.442 2.600
Hg Br Tc
1 1 2
direct
0.750 0.750 0.750
0.250 0.250 0.250
0.505 0.505 0.505
0.995 0.995 0.995
```

***

VASP calculation (PBE) on an optimized crystal structure of DyYTm6.

Calculated values
ΔH_f (0 K): 27 meV/atom
Calculated volume: 243.3 Å³/cell
Energy above the most stable polymorph in this dataset: 0.00 eV per formula unit

POSCAR file:
```
DyYTm6
1.0
5.915 0.795 1.123
3.628 4.826 -0.635
4.187 0.734 10.224
Tm Dy Y
6 1 1
direct
0.376 0.125 0.374
0.250 0.749 0.249
0.624 0.875 0.626
0.874 0.625 0.876
0.126 0.375 0.124
0.750 0.251 0.751
0.000 0.000 0.000
0.500 0.500 0.500
```

***

VASP calculation (PBE) on an optimized crystal structure of Tb3Ce2Ho8.

Calculated values
ΔH_f (0 K): 48 meV/atom
Calculated volume: 810.2 Å³/cell
Energy above the most stable polymorph in this dataset: 0.00 eV per formula unit

POSCAR file:
```
Tb3Ce2Ho8
1.0
-12.332 -0.044 3.168
4.916 -3.593 -0.614
-1.390 1.930 18.206
Ce Ho Tb
4 16 6
direct
0.887 0.700 0.575
0.231 0.617 0.847
0.769 0.383 0.153
0.113 0.300 0.425
0.347 0.921 0.269
0.041 0.775 0.808
0.191 0.844 0.038
0.389 0.699 0.077
0.926 0.466 0.385
0.422 0.462 0.884
0.695 0.851 0.538
0.959 0.225 0.192
0.611 0.301 0.923
0.074 0.534 0.615
0.578 0.538 0.116
0.653 0.079 0.731
0.733 0.617 0.346
0.305 0.149 0.462
0.267 0.383 0.654
0.809 0.156 0.962
0.150 0.072 0.230
0.500 0.000 0.500
0.850 0.928 0.770
0.464 0.232 0.693
0.536 0.768 0.307
0.000 0.000 0.000
```

***

VASP calculation (PBE) on an optimized crystal structure of PmAlAg.

Calculated values
ΔH_f (0 K): -369 meV/atom
Calculated volume: 69.9 Å³/cell
Energy above the most stable polymorph in this dataset: 0.05 eV per formula unit

POSCAR file:
```
PmAlAg
1.0
-0.102 2.814 -2.378
-1.358 -2.920 -3.397
-3.199 2.138 2.666
Pm Ag Al
1 1 1
direct
0.667 0.333 0.667
0.167 0.667 0.333
0.167 0.000 0.000
```

***

VASP calculation (PBE) on an optimized crystal structure of CuAg2Cl.

Calculated values
Formation energy from raw total energies: 0.2592 eV per atom
Calculated volume: 72.2 Å³/cell
Energy above the most stable polymorph in this dataset: 1.29 eV per formula unit

POSCAR file:
```
CuAg2Cl
1.0
-1.357 5.216 0.445
-2.152 2.425 -4.328
-0.799 -4.558 2.798
Ag Cl Cu
2 1 1
direct
0.500 0.500 0.000
0.000 0.000 0.000
0.250 0.750 0.500
0.750 0.250 0.500
```

***

VASP calculation (PBE) on an optimized crystal structure of CdReRu2.

Calculated values
ΔH_f (0 K): 479 meV/atom
Calculated volume: 63.9 Å³/cell

POSCAR file:
```
CdReRu2
1.0
-2.198 -5.030 -1.011
2.398 -3.605 -3.522
0.128 3.064 4.663
Ru Re Cd
2 1 1
direct
0.003 0.003 0.000
0.774 0.274 0.500
0.223 0.723 0.500
0.500 0.500 0.000
```